An optimized crystal structure of GaSi2Hg, computed with GGA-PBEsol.

Geometry as CIF:
```
data_GaSi2Hg
_cell_length_a 6.621
_cell_length_b 6.621
_cell_length_c 6.621
_cell_angle_alpha 90.00
_cell_angle_beta 90.00
_cell_angle_gamma 90.00
_symmetry_space_group_name_H-M 'F m -3 m'
_symmetry_Int_Tables_number 225
_symmetry_space_group_name_Hall '-F 4 2 3'
loop_
_atom_site_label
_atom_site_fract_x
_atom_site_fract_y
_atom_site_fract_z
_atom_site_occupancy
Ga1 0.000 0.000 0.000 1
Si1 0.250 0.250 0.250 1
Hg1 0.000 0.000 0.500 1
```

Properties
* uncorrected formation energy: 0.472 eV per atom
* DOS(E_F): 7.8 states/eV/cell
* total magnetization: 0.00 μB per formula unit